[1]
# LaSmTm5 (PBE, relaxed)
data_LaSmTm5
_chemical_formula_sum 'La4 Sm4 Tm20'
_cell_length_a 7.0472
_cell_length_b 11.4930
_cell_length_c 11.3800
_cell_angle_alpha 90.00
_cell_angle_beta 90.00
_cell_angle_gamma 90.00
_space_group_name_H-M_alt 'I m m a'
_space_group_IT_number 74
_space_group_name_Hall '-I 2b 2'
loop_
_atom_site_label
_atom_site_fract_x
_atom_site_fract_y
_atom_site_fract_z
La1 0.2500 0.2500 0.2500
Sm1 0.0000 0.2500 0.5453
Tm1 0.0000 0.0340 0.7502
Tm2 0.0000 0.2500 0.9564
Tm3 0.2490 0.0000 0.0000
# - Raw total energy: -0.32318 Ry per atom
# - Total magnetization: 0.000 μB per formula unit



[2]
# Ho5Tl2Cu (PBE, relaxed)
data_Ho5Tl2Cu
_chemical_formula_sum 'Ho10 Tl4 Cu2'
_cell_length_a 6.7471
_cell_length_b 12.7332
_cell_length_c 4.9451
_cell_angle_alpha 90.00
_cell_angle_beta 90.00
_cell_angle_gamma 90.00
_space_group_name_H-M_alt 'P b a m'
_space_group_IT_number 55
loop_
_space_group_symop_operation_xyz
'x,y,z'
'-x,-y,-z'
'-x,-y,z'
'x,y,-z'
'x+1/2,-y+1/2,-z'
'-x+1/2,y+1/2,z'
'-x+1/2,y+1/2,-z'
'x+1/2,-y+1/2,z'
loop_
_atom_site_label
_atom_site_fract_x
_atom_site_fract_y
_atom_site_fract_z
Ho1 0.0000 0.0000 0.0000
Ho2 0.1059 0.2809 0.0000
Ho3 0.1747 0.5967 0.5000
Tl1 0.1383 0.8511 0.5000
Cu1 0.0000 0.5000 0.0000
# - Raw total energy: -0.30944 Ry per atom
# - Total magnetization: 0.000 μB per formula unit



[3]
# BaGeSN2 (PBE, relaxed)
data_BaGeSN2
_chemical_formula_sum 'Ba1 Ge1 S1 N2'
_cell_length_a 4.5380
_cell_length_b 4.5380
_cell_length_c 6.2943
_cell_angle_alpha 90.00
_cell_angle_beta 90.00
_cell_angle_gamma 90.00
_space_group_name_H-M_alt 'P 4/m m m'
_space_group_IT_number 123
_space_group_name_Hall '-P 4 2'
loop_
_atom_site_label
_atom_site_fract_x
_atom_site_fract_y
_atom_site_fract_z
Ba1 0.0000 0.0000 0.0000
Ge1 0.5000 0.5000 0.5000
S1 0.0000 0.0000 0.5000
N1 0.0000 0.5000 0.0000
# - Raw total energy: -0.28026 Ry per atom
# - E_form (uncorrected): 1.651 eV per atom
# - Total magnetization: 2.291 μB per formula unit



[4]
# MgTc2Te (PBE, relaxed)
data_MgTc2Te
_chemical_formula_sum 'Mg2 Tc4 Te2'
_cell_length_a 9.5185
_cell_length_b 3.2142
_cell_length_c 4.6893
_cell_angle_alpha 90.00
_cell_angle_beta 109.44
_cell_angle_gamma 90.00
_space_group_name_H-M_alt 'C 1 m 1'
_space_group_IT_number 8
loop_
_space_group_symop_operation_xyz
'x,y,z'
'x,-y,z'
'x+1/2,y+1/2,z'
'x+1/2,-y+1/2,z'
loop_
_atom_site_label
_atom_site_fract_x
_atom_site_fract_y
_atom_site_fract_z
Mg1 0.0000 0.0000 0.0000
Tc1 0.2491 0.5000 0.1501
Tc2 0.4797 0.0000 0.4882
Te1 0.2278 0.0000 0.6667
# - Raw total energy: -0.45004 Ry per atom
# - E_form (uncorrected): 0.244 eV per atom
# - Total magnetization: 0.000 μB per formula unit



[5]
# BaRh5 (PBE, relaxed)
data_BaRh5
_chemical_formula_sum 'Ba2 Rh10'
_cell_length_a 12.0425
_cell_length_b 2.8891
_cell_length_c 6.4830
_cell_angle_alpha 90.00
_cell_angle_beta 98.15
_cell_angle_gamma 90.00
_space_group_name_H-M_alt 'C 1 m 1'
_space_group_IT_number 8
loop_
_space_group_symop_operation_xyz
'x,y,z'
'x,-y,z'
'x+1/2,y+1/2,z'
'x+1/2,-y+1/2,z'
loop_
_atom_site_label
_atom_site_fract_x
_atom_site_fract_y
_atom_site_fract_z
Ba1 0.0000 0.0000 0.0000
Rh1 0.0455 0.0000 0.5349
Rh2 0.1861 0.5000 0.3459
Rh3 0.2279 0.5000 0.7382
Rh4 0.2744 0.0000 0.0696
Rh5 0.3633 0.0000 0.5026
# - Raw total energy: -0.45481 Ry per atom
# - Total magnetization: 0.000 μB per formula unit



[6]
# MnNiSnCl2 (PBE, relaxed)
data_MnNiSnCl2
_chemical_formula_sum 'Mn1 Ni1 Sn1 Cl2'
_cell_length_a 4.5150
_cell_length_b 4.5150
_cell_length_c 6.0362
_cell_angle_alpha 90.00
_cell_angle_beta 90.00
_cell_angle_gamma 90.00
_space_group_name_H-M_alt 'P 4/m m m'
_space_group_IT_number 123
_space_group_name_Hall '-P 4 2'
loop_
_atom_site_label
_atom_site_fract_x
_atom_site_fract_y
_atom_site_fract_z
Mn1 0.0000 0.0000 0.0000
Ni1 0.5000 0.5000 0.5000
Sn1 0.0000 0.0000 0.5000
Cl1 0.0000 0.5000 0.0000
# - Raw total energy: -0.31772 Ry per atom
# - E_form (uncorrected): 0.207 eV per atom
# - Total magnetization: 4.760 μB per formula unit



[7]
# Ho4Te3Au (PBE, relaxed)
data_Ho4Te3Au
_chemical_formula_sum 'Ho8 Te6 Au2'
_cell_length_a 8.8834
_cell_length_b 12.2632
_cell_length_c 4.1836
_cell_angle_alpha 90.00
_cell_angle_beta 90.00
_cell_angle_gamma 90.00
_space_group_name_H-M_alt 'C m m m'
_space_group_IT_number 65
_space_group_name_Hall '-C 2 2'
loop_
_atom_site_label
_atom_site_fract_x
_atom_site_fract_y
_atom_site_fract_z
Ho1 0.0000 0.2388 0.0000
Ho2 0.2258 0.0000 0.5000
Te1 0.0000 0.5000 0.0000
Te2 0.2500 0.2500 0.5000
Au1 0.0000 0.0000 0.0000
# - Raw total energy: -0.37105 Ry per atom
# - E_form (uncorrected): -1.172 eV per atom
# - Total magnetization: 0.000 μB per formula unit



[8]
# NdSn5Rh3 (PBE, relaxed)
data_NdSn5Rh3
_chemical_formula_sum 'Nd4 Sn20 Rh12'
_cell_length_a 11.7378
_cell_length_b 9.1481
_cell_length_c 9.8892
_cell_angle_alpha 90.00
_cell_angle_beta 120.43
_cell_angle_gamma 90.00
_space_group_name_H-M_alt 'C 1 2/m 1'
_space_group_IT_number 12
loop_
_space_group_symop_operation_xyz
'x,y,z'
'-x,-y,-z'
'-x,y,-z'
'x,-y,z'
'x+1/2,y+1/2,z'
'-x+1/2,-y+1/2,-z'
'-x+1/2,y+1/2,-z'
'x+1/2,-y+1/2,z'
loop_
_atom_site_label
_atom_site_fract_x
_atom_site_fract_y
_atom_site_fract_z
Nd1 0.0994 0.0000 0.3059
Sn1 0.0000 0.3013 0.0000
Sn2 0.0847 0.5000 0.3533
Sn3 0.1611 0.2216 0.6563
Sn4 0.2426 0.0000 0.0407
Rh1 0.0000 0.0000 0.0000
Rh2 0.0000 0.0000 0.5000
Rh3 0.1379 0.5000 0.6516
Rh4 0.1933 0.5000 0.1770
# - Raw total energy: -0.41120 Ry per atom
# - Total magnetization: 0.000 μB per formula unit



[9]
# GaHg2F (PBE, relaxed)
data_GaHg2F
_chemical_formula_sum 'Ga4 Hg8 F4'
_cell_length_a 6.5795
_cell_length_b 6.5795
_cell_length_c 10.2753
_cell_angle_alpha 90.00
_cell_angle_beta 90.00
_cell_angle_gamma 90.00
_space_group_name_H-M_alt 'I -4 2 d'
_space_group_IT_number 122
_space_group_name_Hall 'I -4 2bw'
loop_
_atom_site_label
_atom_site_fract_x
_atom_site_fract_y
_atom_site_fract_z
Ga1 0.0000 0.0000 0.0000
Hg1 0.2305 0.2500 0.6250
F1 0.0000 0.0000 0.5000
# - Raw total energy: -0.13705 Ry per atom
# - E_form (uncorrected): -0.489 eV per atom
# - Total magnetization: 0.000 μB per formula unit



[10]
# SiSnB2 (PBE, relaxed)
data_SiSnB2
_chemical_formula_sum 'Si4 Sn4 B8'
_cell_length_a 6.0019
_cell_length_b 6.0019
_cell_length_c 6.0019
_cell_angle_alpha 90.00
_cell_angle_beta 90.00
_cell_angle_gamma 90.00
_space_group_name_H-M_alt 'F m -3 m'
_space_group_IT_number 225
_space_group_name_Hall '-F 4 2 3'
loop_
_atom_site_label
_atom_site_fract_x
_atom_site_fract_y
_atom_site_fract_z
Si1 0.0000 0.0000 0.0000
Sn1 0.0000 0.0000 0.5000
B1 0.2500 0.2500 0.2500
# - Raw total energy: -0.31085 Ry per atom
# - E_form (uncorrected): 1.466 eV per atom
# - Total magnetization: 0.000 μB per formula unit



[11]
# Li2CuAg (PBE, relaxed)
data_Li2CuAg
_chemical_formula_sum 'Li4 Cu2 Ag2'
_cell_length_a 8.5162
_cell_length_b 3.9539
_cell_length_c 3.8812
_cell_angle_alpha 90.00
_cell_angle_beta 116.66
_cell_angle_gamma 90.00
_space_group_name_H-M_alt 'C 1 2/m 1'
_space_group_IT_number 12
loop_
_space_group_symop_operation_xyz
'x,y,z'
'-x,-y,-z'
'-x,y,-z'
'x,-y,z'
'x+1/2,y+1/2,z'
'-x+1/2,-y+1/2,-z'
'-x+1/2,y+1/2,-z'
'x+1/2,-y+1/2,z'
loop_
_atom_site_label
_atom_site_fract_x
_atom_site_fract_y
_atom_site_fract_z
Li1 0.2495 0.0000 0.2499
Cu1 0.0000 0.0000 0.5000
Ag1 0.0000 0.5000 0.0000
# - Raw total energy: -0.20419 Ry per atom
# - Total magnetization: 0.000 μB per formula unit



[12]
# Er4GaPd3 (PBE, relaxed)
data_Er4GaPd3
_chemical_formula_sum 'Er4 Ga1 Pd3'
_cell_length_a 3.7186
_cell_length_b 4.4689
_cell_length_c 10.6855
_cell_angle_alpha 90.00
_cell_angle_beta 90.00
_cell_angle_gamma 90.00
_space_group_name_H-M_alt 'P m m 2'
_space_group_IT_number 25
loop_
_space_group_symop_operation_xyz
'x,y,z'
'-x,-y,z'
'-x,y,z'
'x,-y,z'
loop_
_atom_site_label
_atom_site_fract_x
_atom_site_fract_y
_atom_site_fract_z
Er1 0.0000 0.0000 0.0000
Er2 0.0000 0.5000 0.2723
Er3 0.5000 0.0000 0.4882
Er4 0.5000 0.5000 0.7763
Ga1 0.0000 0.0000 0.7140
Pd1 0.0000 0.5000 0.5555
Pd2 0.5000 0.0000 0.2207
Pd3 0.5000 0.5000 0.0497
# - Raw total energy: -0.40172 Ry per atom
# - Total magnetization: 0.000 μB per formula unit